No. 1
Density functional theory data (PBE-GGA) for an optimized crystal structure of La4Nd2In.

```
La4Nd2In
1.0
6.910 0.916 0.000
-2.587 6.473 0.000
0.000 0.000 10.635
In La Nd
2 8 4
direct
0.500 0.500 0.750 In
0.500 0.500 0.250 In
0.500 0.000 0.250 La
0.000 0.500 0.750 La
0.811 0.810 0.500 La
0.190 0.189 0.000 La
0.189 0.190 0.500 La
0.810 0.811 0.000 La
0.000 0.500 0.250 La
0.500 0.000 0.750 La
0.309 0.691 0.000 Nd
0.691 0.309 0.000 Nd
0.309 0.691 0.500 Nd
0.691 0.309 0.500 Nd
```

Output
Formation enthalpy at 0 K ... -0.003 eV per atom
Total energy ... -4.572 eV per atom

=====

No. 2
Density functional theory data (PBE-GGA) for an optimized crystal structure of La5Nd12In2.

```
La5Nd12In2
1.0
9.432 0.000 0.000
-4.716 7.873 1.119
0.000 -1.797 8.614
Nd La In
12 5 2
direct
0.555 0.110 0.325 Nd
0.327 0.286 0.238 Nd
0.959 0.286 0.238 Nd
0.568 0.749 0.327 Nd
0.041 0.714 0.762 Nd
0.181 0.749 0.327 Nd
0.673 0.714 0.762 Nd
0.819 0.251 0.673 Nd
0.432 0.251 0.673 Nd
0.445 0.890 0.675 Nd
0.924 0.848 0.113 Nd
0.076 0.152 0.887 Nd
0.000 0.000 0.500 La
0.232 0.464 0.579 La
0.307 0.613 0.986 La
0.768 0.536 0.421 La
0.693 0.387 0.014 La
0.675 0.000 0.000 In
0.325 0.000 0.000 In
```

Output
Formation enthalpy at 0 K ... -0.034 eV per atom
Total energy ... -4.630 eV per atom

=====

No. 3
Density functional theory data (PBE-GGA) for an optimized crystal structure of LaNd2In2.

```
LaNd2In2
1.0
-1.405 -1.667 -3.968
-2.634 -3.641 2.463
-9.866 8.755 2.391
In La Nd
4 2 4
direct
0.545 0.250 0.090 In
0.455 0.750 0.910 In
0.648 0.750 0.298 In
0.352 0.250 0.702 In
0.857 0.750 0.712 La
0.143 0.250 0.288 La
0.237 0.750 0.475 Nd
0.951 0.250 0.900 Nd
0.049 0.750 0.100 Nd
0.763 0.250 0.525 Nd
```

Output
Formation enthalpy at 0 K ... -0.392 eV per atom
Total energy ... -4.380 eV per atom

=====

No. 4
Density functional theory data (PBE-GGA) for an optimized crystal structure of La5NdIn.

```
La5NdIn
1.0
6.730 0.567 -0.751
2.673 6.203 -0.751
1.748 1.258 11.585
La Nd In
10 2 2
direct
0.184 0.816 0.750 La
0.674 0.627 0.491 La
0.627 0.674 0.991 La
0.326 0.373 0.509 La
0.410 0.087 0.291 La
0.087 0.410 0.791 La
0.373 0.326 0.009 La
0.913 0.590 0.209 La
0.590 0.913 0.709 La
0.816 0.184 0.250 La
0.000 0.000 0.000 Nd
0.000 0.000 0.500 Nd
0.341 0.659 0.250 In
0.659 0.341 0.750 In
```

Output
Formation enthalpy at 0 K ... -0.020 eV per atom
Total energy ... -4.612 eV per atom

=====

No. 5
Density functional theory data (PBE-GGA) for an optimized crystal structure of La5Nd2In5.

```
La5Nd2In5
1.0
-3.258 -2.583 1.913
-4.007 -5.297 -8.502
3.898 -6.145 3.814
La In Nd
5 5 2
direct
0.000 0.000 0.000 La
0.319 0.757 0.604 La
0.004 0.245 0.747 La
0.996 0.755 0.253 La
0.681 0.243 0.396 La
0.325 0.997 0.353 In
0.675 0.003 0.647 In
0.000 0.500 0.500 In
0.335 0.260 0.070 In
0.665 0.740 0.930 In
0.669 0.484 0.179 Nd
0.331 0.516 0.821 Nd
```

Output
Formation enthalpy at 0 K ... -0.389 eV per atom
Total energy ... -4.378 eV per atom

=====

No. 6
Density functional theory data (PBE-GGA) for an optimized crystal structure of La3Nd4In.

```
La3Nd4In
1.0
-0.647 6.300 0.666
-3.291 0.347 -6.488
-10.355 -1.610 5.166
Nd La In
8 6 2
direct
0.139 0.369 0.232 Nd
0.639 0.631 0.268 Nd
0.997 0.631 0.500 Nd
0.456 0.372 0.500 Nd
0.497 0.369 0.000 Nd
0.139 0.369 0.768 Nd
0.639 0.631 0.732 Nd
0.956 0.628 0.000 Nd
0.991 0.124 0.500 La
0.657 0.112 0.258 La
0.157 0.888 0.758 La
0.157 0.888 0.242 La
0.657 0.112 0.742 La
0.491 0.876 0.000 La
0.978 0.126 0.000 In
0.478 0.874 0.500 In
```

Output
Formation enthalpy at 0 K ... -0.113 eV per atom
Total energy ... -4.687 eV per atom